YTeOs2: relaxed, GGA-PBE.

Cell lengths 5.342, 5.342, 5.197 Å; angles 109.79, 109.79, 35.16 degrees
Positions (direct):
Y: 0.000 0.000 0.000
Te: 0.786 0.786 0.289
Os: 0.231 0.231 0.645
Os: 0.514 0.514 0.549

- ΔE_f (raw) (eV per atom) = 0.21
- crystal system = monoclinic
- E_tot (eV/atom) = -7.8080
- DOS(E_F) (states/eV/f.u.) = 3.31

Ba2ZrRu: relaxed, GGA-PBE.

Cell lengths 10.014, 10.014, 4.114 Å; angles 101.80, 101.80, 20.44 degrees
Positions (direct):
Ba: 0.150 0.150 0.149
Ba: 0.850 0.850 0.851
Zr: 0.000 0.000 0.500
Ru: 0.500 0.500 0.000

- ΔE_f (eV per atom) = 0.202
- crystal system = monoclinic
- E_tot (eV/atom) = -5.2153
- DOS(E_F) (states/eV/f.u.) = 4.35
- distance to the lowest polymorph of the same formula (meV per atom) = 100

ScFe5B3: relaxed, GGA-PBE.

Cell lengths 5.855, 5.855, 10.586 Å; angles 90.00, 90.00, 148.37 degrees
Positions (direct):
Sc: 0.167 0.833 0.750
Sc: 0.833 0.167 0.250
Fe: 0.000 0.000 0.000
Fe: 0.000 0.000 0.500
Fe: 0.197 0.803 0.063
Fe: 0.197 0.803 0.437
Fe: 0.449 0.551 0.647
Fe: 0.449 0.551 0.853
Fe: 0.551 0.449 0.147
Fe: 0.551 0.449 0.353
Fe: 0.803 0.197 0.563
Fe: 0.803 0.197 0.937
B: 0.141 0.859 0.250
B: 0.379 0.621 0.051
B: 0.379 0.621 0.449
B: 0.621 0.379 0.551
B: 0.621 0.379 0.949
B: 0.859 0.141 0.750

- ΔE_f (eV per atom) = -0.208
- crystal system = orthorhombic
- E_tot (eV/atom) = -7.8389
- DOS(E_F) (states/eV/f.u.) = 6.01